The following is a PBE-GGA calculation of a geometry-optimized Sn2PtRh4 structure, from Alexandria via LeMat-Bulk.

Structure (extended XYZ):
```
14
Lattice="-7.467 -3.104 -3.542 -0.913 -3.407 4.910 -2.277 3.669 1.586" Properties=species:S:1:pos:R:3 pbc="T T T"
Sn -1.748 -1.297 3.504
Sn -8.910 -1.545 -0.549
Sn -6.527 -2.068 3.253
Sn -4.131 -0.774 -0.298
Pt 0.000 0.000 0.000
Pt -4.190 -3.255 0.684
Rh -6.506 -4.663 0.479
Rh -6.519 -1.749 0.560
Rh -8.189 -3.956 2.440
Rh -5.493 -2.728 -1.713
Rh -5.165 -0.114 4.667
Rh -2.469 1.115 0.515
Rh -4.139 -1.093 2.394
Rh -4.152 1.821 2.476
```

Summary:
As for the density: 11.47 g/cm³. The total magnetization is 0.00 μB per formula unit. For the formation energy, the calculation gives -82 meV/atom.